[1]
First-principles (PBE) data for crystalline RbZnCl3 at its relaxed geometry, as listed in the Alexandria database.

raw total energy: -2.950 eV per atom
volume: 144 Å³/f.u.

a b c (Å): 6.7771 6.7771 21.7266
angles (deg): 90.00 90.00 120.00
Last column: nearest neighbours and their distance in Å.
Space group R-3 (No. 148, hexagonal axes)
Symmetry-distinct sites (fractional):
1 Rb 0.0000 0.0000 0.1393 x6  6 Cl 3.17-3.42
2 Zn 0.0000 0.0000 0.3351 x6  6 Cl 2.52-2.54
3 Cl 0.0027 0.4087 0.9324 x18  2 Zn 2.52-2.54

[2]
First-principles (PBE) data for crystalline CsK5RbNa at its relaxed geometry, as listed in the Alexandria database.

raw total energy: -1.039 eV per atom
volume: 601 Å³/f.u.
formation energy from the elements: 0.039 eV/atom

a b c (Å): 11.1375 19.9590 10.8717
angles (deg): 90.00 95.83 90.00
Last column: nearest neighbours and their distance in Å.
Space group C2/c (No. 15)
Symmetry-distinct sites (fractional):
1 Cs 0.0000 0.1468 0.2500 x4  6 K 4.37-4.73, 2 Na 4.57, 1 Rb 4.75
2 K 0.0000 0.3835 0.7500 x4  4 K 4.40-4.63, 2 Na 4.55, 1 Rb 4.62
3 K 0.1379 0.1895 0.6327 x8  3 K 4.19-4.67, 2 Na 4.24-4.58, 1 Rb 4.37, 1 Cs 4.37
4 K 0.2092 0.0278 0.9615 x8  1 Na 4.47, 1 Rb 4.51, 4 K 4.63-4.94, 2 Cs 4.67-4.73
5 Rb 0.0000 0.3850 0.2500 x4  5 K 4.37-4.62, 1 Cs 4.75
6 Na 0.2500 0.2500 0.0000 x4  8 K 4.24-4.58, 2 Cs 4.57

[3]
First-principles (PBE) data for crystalline InTe2P at its relaxed geometry, as listed in the Alexandria database.

raw total energy: -3.151 eV per atom
volume: 100 Å³/f.u.
relative energy among the computed polymorphs: 432 meV/atom

a b c (Å): 7.3729 7.3729 7.3729
angles (deg): 90.00 90.00 90.00
Last column: nearest neighbours and their distance in Å.
Space group F-43m (No. 216)
Symmetry-distinct sites (fractional):
1 In 0.0000 0.0000 0.0000 x4  4 Te 3.19, 4 P 3.19
2 Te 0.0000 0.0000 0.5000 x4  4 P 3.19, 4 Te 3.19
3 Te 0.2500 0.2500 0.7500 x4  4 Te 3.19, 4 In 3.19
4 P 0.2500 0.2500 0.2500 x4  4 In 3.19, 4 Te 3.19

[4]
First-principles (PBE) data for crystalline CaLa3Ru at its relaxed geometry, as listed in the Alexandria database.

raw total energy: -5.367 eV per atom
volume: 180 Å³/f.u.
relative energy among the computed polymorphs: 16 meV/atom
formation energy from the elements: -0.155 eV/atom

a b c (Å): 6.8814 7.0108 7.9282
angles (deg): 90.06 90.05 109.81
Last column: nearest neighbours and their distance in Å.
Space group P1 (No. 1)
Symmetry-distinct sites (fractional):
1 Ca 0.0000 0.0000 0.0000 x1  1 Ru 2.93
2 Ca 0.9999 0.4998 0.2341 x1  1 Ru 2.93
3 La 0.4917 0.4744 0.4909 x1  2 Ru 2.83-2.86
4 La 0.4920 0.9749 0.7420 x1  2 Ru 2.83-2.86
5 La 0.5077 0.4883 0.9956 x1  1 Ru 2.59
6 La 0.5078 0.9881 0.2374 x1  1 Ru 2.59
7 La 0.9825 0.4844 0.7330 x1  2 Ru 2.76-2.93
8 La 0.9820 0.9838 0.5012 x1  2 Ru 2.76-2.93
9 Ru 0.7281 0.7148 0.7595 x1  4 La 2.59-2.86
10 Ru 0.7286 0.2149 0.4741 x1  4 La 2.59-2.86

[5]
First-principles (PBE) data for crystalline Zr2InBr at its relaxed geometry, as listed in the Alexandria database.

raw total energy: -5.664 eV per atom
volume: 85 Å³/f.u.
relative energy among the computed polymorphs: 131 meV/atom

a b c (Å): 3.2809 3.2809 7.9171
angles (deg): 90.00 90.00 90.00
Last column: nearest neighbours and their distance in Å.
Space group P4/mmm (No. 123)
Symmetry-distinct sites (fractional):
1 Zr 0.0000 0.0000 0.2405 x2  4 Br 3.00, 4 In 3.10, 4 Zr 3.28
2 In 0.5000 0.5000 0.5000 x1  8 Zr 3.10, 4 In 3.28
3 Br 0.5000 0.5000 0.0000 x1  8 Zr 3.00, 4 Br 3.28

[6]
First-principles (PBE) data for crystalline CsTlP3 at its relaxed geometry, as listed in the Alexandria database.

raw total energy: -2.145 eV per atom
volume: 183 Å³/f.u.
relative energy among the computed polymorphs: 856 meV/atom
formation energy from the elements: 1.745 eV/atom

a b c (Å): 5.6724 5.6724 5.6724
angles (deg): 90.00 90.00 90.00
Last column: nearest neighbours and their distance in Å.
Space group Pm-3m (No. 221)
Symmetry-distinct sites (fractional):
1 Cs 0.0000 0.0000 0.0000 x1  6 P 2.84
2 Tl 0.5000 0.5000 0.5000 x1  12 P 4.01
3 P 0.0000 0.0000 0.5000 x3  2 Cs 2.84

[7]
First-principles (PBE) data for crystalline Nd6TlSe3S2 at its relaxed geometry, as listed in the Alexandria database.

raw total energy: -5.763 eV per atom
volume: 323 Å³/f.u.

a b c (Å): 18.5499 4.1490 8.6400
angles (deg): 90.00 104.06 90.00
Last column: nearest neighbours and their distance in Å.
Space group C2/m (No. 12)
Symmetry-distinct sites (fractional):
1 Nd 0.0057 0.0000 0.2650 x4  3 Se 2.92-3.06, 1 S 2.95, 2 Tl 3.07
2 Nd 0.1702 0.5000 0.5720 x4  3 S 2.89-2.91, 3 Se 3.07
3 Nd 0.1708 0.5000 0.0982 x4  2 S 2.92, 3 Se 2.97-3.09, 1 Tl 3.07
4 Tl 0.0000 0.5000 0.0000 x2  6 Nd 3.07
5 Se 0.0000 0.5000 0.5000 x2  6 Nd 2.92-3.07
6 Se 0.1645 0.0000 0.8300 x4  6 Nd 2.97-3.09
7 S 0.1694 0.0000 0.3358 x4  6 Nd 2.89-2.95

[8]
First-principles (PBE) data for crystalline NaInSnPb at its relaxed geometry, as listed in the Alexandria database.

raw total energy: -3.021 eV per atom
volume: 114 Å³/f.u.
relative energy among the computed polymorphs: 24 meV/atom
formation energy from the elements: -0.079 eV/atom

a b c (Å): 7.7081 7.7081 7.7081
angles (deg): 90.00 90.00 90.00
Last column: nearest neighbours and their distance in Å.
Space group F-43m (No. 216)
Symmetry-distinct sites (fractional):
1 Na 0.0000 0.0000 0.0000 x4  4 In 3.34, 4 Pb 3.34
2 In 0.2500 0.2500 0.7500 x4  4 Sn 3.34, 4 Na 3.34
3 Sn 0.0000 0.0000 0.5000 x4  4 In 3.34, 4 Pb 3.34
4 Pb 0.2500 0.2500 0.2500 x4  4 Sn 3.34, 4 Na 3.34

Number 3 is which compound? InTe2P

Which formula does entry 3 have? InTe2P

The highest volume belongs to which entry? CsK5RbNa

Among the records above, which one has the highest raw total energy? CsK5RbNa